(1)
PBE Nd3Y2Ru2, optimized geometry; total moment = 0.00 μB/f.u.; N(E_F) = 0.800 states/eV/atom; energy of formation = -228.5 meV per atom; ρ = 7.01 Mg/m³
1.0
12.189 0.000 0.000
0.000 3.974 0.000
-3.472 0.000 7.951
Nd Y Ru
6 4 4
direct
0.000 0.000 0.000 Nd
0.119 0.000 0.430 Nd
0.381 0.500 0.570 Nd
0.500 0.500 0.000 Nd
0.619 0.500 0.430 Nd
0.881 0.000 0.570 Nd
0.170 0.500 0.815 Y
0.330 0.000 0.185 Y
0.670 0.000 0.815 Y
0.830 0.500 0.185 Y
0.182 0.500 0.224 Ru
0.318 0.000 0.776 Ru
0.682 0.000 0.224 Ru
0.818 0.500 0.776 Ru

(2)
PBE NbGe2W, optimized geometry; excess energy over the best structure of this formula in the dataset = 0 meV per atom; total moment = 0.00 μB/f.u.; N(E_F) = 0.655 states/eV/atom; energy of formation = 117.1 meV per atom; ρ = 10.90 Mg/m³
1.0
6.359 0.000 0.000
0.000 6.359 0.000
0.000 0.000 6.359
Nb Ge W
4 8 4
direct
0.000 0.000 0.000 Nb
0.000 0.500 0.500 Nb
0.500 0.000 0.500 Nb
0.500 0.500 0.000 Nb
0.250 0.250 0.250 Ge
0.250 0.250 0.750 Ge
0.250 0.750 0.250 Ge
0.250 0.750 0.750 Ge
0.750 0.250 0.250 Ge
0.750 0.250 0.750 Ge
0.750 0.750 0.250 Ge
0.750 0.750 0.750 Ge
0.000 0.000 0.500 W
0.000 0.500 0.000 W
0.500 0.000 0.000 W
0.500 0.500 0.500 W

(3)
PBE Ca3Cu3Ge2, optimized geometry; total moment = 0.00 μB/f.u.; N(E_F) = 0.527 states/eV/atom; energy of formation = -358.6 meV per atom; ρ = 4.50 Mg/m³
1.0
7.745 0.000 0.000
0.000 14.930 0.000
0.000 0.000 5.820
Ca Cu Ge
12 12 8
direct
0.026 0.106 0.136 Ca
0.026 0.394 0.136 Ca
0.160 0.250 0.626 Ca
0.340 0.750 0.126 Ca
0.474 0.606 0.636 Ca
0.474 0.894 0.636 Ca
0.526 0.106 0.364 Ca
0.526 0.394 0.364 Ca
0.660 0.250 0.874 Ca
0.840 0.750 0.374 Ca
0.974 0.606 0.864 Ca
0.974 0.894 0.864 Ca
0.168 0.035 0.604 Cu
0.168 0.465 0.604 Cu
0.187 0.750 0.598 Cu
0.313 0.250 0.098 Cu
0.332 0.535 0.104 Cu
0.332 0.965 0.104 Cu
0.668 0.035 0.896 Cu
0.668 0.465 0.896 Cu
0.687 0.750 0.902 Cu
0.813 0.250 0.402 Cu
0.832 0.535 0.396 Cu
0.832 0.965 0.396 Cu
0.128 0.602 0.369 Ge
0.128 0.898 0.369 Ge
0.372 0.102 0.869 Ge
0.372 0.398 0.869 Ge
0.628 0.602 0.131 Ge
0.628 0.898 0.131 Ge
0.872 0.102 0.631 Ge
0.872 0.398 0.631 Ge

(4)
PBE Ba2YUSe6, optimized geometry; total moment = 1.00 μB/f.u.; N(E_F) = 0.018 states/eV/atom; ρ = 5.64 Mg/m³; uncorrected formation energy = -1.72 eV/atom
1.0
7.460 0.000 0.000
0.000 7.853 0.000
-7.458 0.000 10.804
Ba Y U Se
4 2 2 12
direct
0.228 0.072 0.249 Ba
0.228 0.428 0.749 Ba
0.772 0.572 0.251 Ba
0.772 0.928 0.751 Ba
0.000 0.000 0.500 Y
0.000 0.500 0.000 Y
0.500 0.000 0.000 U
0.500 0.500 0.500 U
0.157 0.196 0.955 Se
0.157 0.304 0.455 Se
0.261 0.705 0.954 Se
0.261 0.795 0.454 Se
0.342 0.017 0.754 Se
0.342 0.483 0.254 Se
0.658 0.517 0.746 Se
0.658 0.983 0.246 Se
0.739 0.205 0.546 Se
0.739 0.295 0.046 Se
0.843 0.696 0.545 Se
0.843 0.804 0.045 Se

(5)
PBE Pr5PdPt2, optimized geometry; total moment = 0.00 μB/f.u.; N(E_F) = 1.066 states/eV/atom; energy of formation = -738.1 meV per atom; ρ = 9.01 Mg/m³
1.0
-4.006 4.006 6.899
4.006 -4.006 6.899
4.006 4.006 -6.899
Pr Pd Pt
10 2 4
direct
0.000 0.000 0.000 Pr
0.024 0.524 0.830 Pr
0.194 0.024 0.500 Pr
0.306 0.806 0.830 Pr
0.476 0.306 0.500 Pr
0.500 0.500 0.000 Pr
0.524 0.694 0.500 Pr
0.694 0.194 0.170 Pr
0.806 0.976 0.500 Pr
0.976 0.476 0.170 Pr
0.250 0.250 0.000 Pd
0.750 0.750 0.000 Pd
0.132 0.368 0.500 Pt
0.368 0.868 0.236 Pt
0.632 0.132 0.764 Pt
0.868 0.632 0.500 Pt

(6)
PBE TaCoSe2, optimized geometry; total moment = 1.62 μB/f.u.; N(E_F) = 0.816 states/eV/atom; ρ = 8.48 Mg/m³; uncorrected formation energy = -0.11 eV/atom
1.0
3.330 0.000 0.000
-1.665 2.884 0.000
0.000 0.000 24.319
Ta Co Se
3 3 6
direct
0.000 0.000 0.000 Ta
0.333 0.667 0.667 Ta
0.667 0.333 0.333 Ta
0.000 0.000 0.500 Co
0.333 0.667 0.167 Co
0.667 0.333 0.833 Co
0.000 0.000 0.406 Se
0.000 0.000 0.594 Se
0.333 0.667 0.072 Se
0.333 0.667 0.261 Se
0.667 0.333 0.739 Se
0.667 0.333 0.928 Se

(7)
PBE TaMnTc, optimized geometry; excess energy over the best structure of this formula in the dataset = 21 meV per atom; total moment = 1.61 μB/f.u.; N(E_F) = 1.594 states/eV/atom; energy of formation = 23.1 meV per atom; ρ = 12.44 Mg/m³
1.0
4.343 0.000 0.000
-2.172 3.761 0.000
0.000 0.000 2.729
Ta Mn Tc
1 1 1
direct
0.000 0.000 0.000 Ta
0.333 0.667 0.660 Mn
0.667 0.333 0.327 Tc

(8)
PBE CdNi3N, optimized geometry; excess energy over the best structure of this formula in the dataset = 326 meV per atom; total moment = 0.00 μB/f.u.; N(E_F) = 0.626 states/eV/atom; ρ = 7.12 Mg/m³; uncorrected formation energy = 0.26 eV/atom
1.0
2.403 -6.391 0.000
2.403 6.391 0.000
0.000 0.000 4.593
Cd Ni N
2 6 2
direct
0.101 0.899 0.750 Cd
0.899 0.101 0.250 Cd
0.038 0.451 0.750 Ni
0.451 0.038 0.250 Ni
0.500 0.500 0.000 Ni
0.500 0.500 0.500 Ni
0.549 0.962 0.750 Ni
0.962 0.549 0.250 Ni
0.392 0.608 0.750 N
0.608 0.392 0.250 N

Number 1: DFT total energy -94.8 eV per cell. Number 2: DFT total energy -127.2 eV per cell. Number 3: DFT total energy -121.6 eV per cell. Number 4: DFT total energy -119.3 eV per cell. Number 5: DFT total energy -94.2 eV per cell. Number 6: DFT total energy -79.1 eV per cell. Number 7: DFT total energy -31.3 eV per cell. Number 8: DFT total energy -50.6 eV per cell.